Below is a relaxed structure of CoSeF2, with properties calculated at the GGA+U level.

Summary:
Calculated volume   75.2 Å³/f.u.
Final energy   -0.148 Ha/atom
Space group   I-42d (122)
Density of states at the Fermi level   0.005 states/eV per atom

Unit cell a=5.9029 b=5.9029 c=5.9029 alpha=117.52 beta=117.52 gamma=94.35
Atoms (fractional coordinates):
Co1 0.0000 0.0000 0.0000
Co2 0.7500 0.2500 0.5000
Se1 0.2500 0.7500 0.5000
Se2 0.5000 0.5000 0.0000
F1 0.3750 0.0317 0.1567
F2 0.7817 0.6250 0.6567
F3 0.8750 0.2183 0.8433
F4 0.9683 0.1250 0.3433